Computed, not measured: a relaxed structure of V3H5O8 at the PBE with a Hubbard U level of DFT.

## Properties
Mass density: 3.2 Mg/m³
Energy above the most stable polymorph in this dataset: 0.826 eV per formula unit
Symmetry: P1

The structure in CIF format:
```
data_V3H5O8
_space_group_name_H-M_alt 'P 1'
_space_group_IT_number 1
_cell_length_a 3.063
_cell_length_b 4.906
_cell_length_c 10.135
_cell_angle_alpha 102.29
_cell_angle_beta 99.02
_cell_angle_gamma 89.83
loop_
_space_group_symop_operation_xyz
'x,y,z'
loop_
_atom_site_label
_atom_site_fract_x
_atom_site_fract_y
_atom_site_fract_z
O1 0.278 0.336 0.574
O2 0.331 0.899 0.681
O3 0.053 0.479 0.185
O4 0.899 0.538 0.802
O5 0.534 0.735 0.031
O6 0.707 0.631 0.449
O7 0.661 0.084 0.328
O8 0.454 0.212 0.944
V1 0.810 0.615 0.641
V2 0.030 0.460 0.984
V3 0.172 0.353 0.367
H1 0.678 0.928 0.378
H2 0.501 0.912 0.997
H3 0.378 0.005 0.779
H4 0.298 0.158 0.611
H5 0.858 0.638 0.203
```